# 1
SbAu3C | PBE-GGA | optimized geometry

Geometry as POSCAR:
```
SbAu3C
1.0
5.231 0.000 0.000
0.000 5.231 0.000
0.000 0.000 5.231
Sb Au C
1 3 1
Cartesian
0.000 0.000 0.000
0.000 0.000 2.616
0.000 2.616 0.000
2.616 0.000 0.000
2.616 2.616 2.616
```

Calculated values
formation energy without anion corrections	172.07	kJ/mol of atoms
E	-2.852	eV/atom
excess energy over the best structure of this formula in the dataset	935	meV per atom
V	28.64	Å³ per atom
DOS(E_F)	1.19	states/eV per atom

***

# 2
SbAu3C | PBE-GGA | optimized geometry

Geometry as POSCAR:
```
SbAu3C
1.0
4.487 0.000 0.000
0.000 4.487 0.000
0.000 0.000 4.487
Sb Au C
1 3 1
Cartesian
0.000 0.000 0.000
0.000 2.243 2.243
2.243 0.000 2.243
2.243 2.243 0.000
2.243 2.243 2.243
```

Calculated values
formation energy without anion corrections	81.87	kJ/mol of atoms
E	-3.787	eV/atom
excess energy over the best structure of this formula in the dataset	0	meV per atom
V	18.07	Å³ per atom
DOS(E_F)	0.82	states/eV per atom

***

Look up the excess energy over the best structure of this formula in the dataset of the second one.
0 meV per atom

***

E of number 2 (SbAu3C)?
-3.787 eV/atom